[1]
TcAsSeN2 at its PBEsol-relaxed geometry, computed with SCAN.

Output
- Space group: P4/mmm (123)
- Crystal system: tetragonal
- Total DFT energy (no corrections): -17.326 eV/atom

Cell: 3.6671 3.6671 5.6309 Å, 90.00 90.00 90.00°
With the nearest neighbours (Å) after each atom.
Atoms (fractional coordinates):
Se (0.0000, 0.0000, 0.5000)  4 Tc 2.59, 2 As 2.82
N (0.5000, 0.0000, 0.0000)  2 As 1.83
N (0.0000, 0.5000, 0.0000)  2 As 1.83
Tc (0.5000, 0.5000, 0.5000)  4 Se 2.59
As (0.0000, 0.0000, 0.0000)  4 N 1.83

[2]
TiAs2SeN at its PBEsol-relaxed geometry, computed with SCAN.

Output
- Space group: P4/mmm (123)
- Crystal system: tetragonal
- Total DFT energy (no corrections): -16.261 eV/atom

Cell: 4.7901 4.8255 4.8255 Å, 90.00 90.00 90.00°
With the nearest neighbours (Å) after each atom.
Atoms (fractional coordinates):
Ti (0.0000, 0.0000, 0.0000)  2 Se 2.40, 4 As 2.41
N (0.5000, 0.5000, 0.5000)  8 As 3.40, 4 Se 3.41
As (0.0000, 0.0000, 0.5000)  2 Ti 2.41
As (0.0000, 0.5000, 0.0000)  2 Ti 2.41
Se (0.5000, 0.0000, 0.0000)  2 Ti 2.40

[3]
TlAs2SeN at its PBEsol-relaxed geometry, computed with SCAN.

Output
- Space group: P4/mmm (123)
- Crystal system: tetragonal
- E above lowest polymorph: 0.000 eV per formula unit
- Total DFT energy (no corrections): -27.599 eV/atom

Cell: 4.5323 4.5323 4.3276 Å, 90.00 90.00 90.00°
With the nearest neighbours (Å) after each atom.
Atoms (fractional coordinates):
As (0.0000, 0.5000, 0.0000)  2 N 2.27
As (0.5000, 0.0000, 0.0000)  2 N 2.27
Se (0.0000, 0.0000, 0.5000)  2 N 2.16
N (0.0000, 0.0000, 0.0000)  2 Se 2.16, 4 As 2.27
Tl (0.5000, 0.5000, 0.5000)  8 As 3.13, 4 Se 3.20

Ordered uncorrected formation energy results: 1.46; 0.90; 0.82; unit eV per atom.
Ordered M_tot results: 4.938; 2.082; 0.001; unit μB per formula unit.